[1]
A relaxed PuCd2Au8 crystal. Source: the Alexandria database, functional GGA-PBE.

Computed properties:
DFT total energy = -4.02 eV/atom
M_tot = 5.326 μB/f.u.
ΔH_f (0 K) = -0.164 eV per atom

The structure in POSCAR format:
```
PuCd2Au8
1.0
4.081 -6.943 0.000
4.081 6.943 0.000
-3.329 0.000 4.025
Pu Cd Au
1 2 8
Direct
0.000 0.000 0.000 Pu
0.313 0.687 0.500 Cd
0.687 0.313 0.500 Cd
0.088 0.334 0.645 Au
0.217 0.783 0.000 Au
0.334 0.088 0.645 Au
0.445 0.445 0.199 Au
0.555 0.555 0.801 Au
0.666 0.912 0.355 Au
0.783 0.217 0.000 Au
0.912 0.666 0.355 Au
```

---

[2]
A relaxed PuCd4Au5 crystal. Source: the Alexandria database, functional GGA-PBE.

Computed properties:
DFT total energy = -3.36 eV/atom
M_tot = 6.277 μB/f.u.
ΔH_f (0 K) = 0.080 eV per atom

The structure in POSCAR format:
```
PuCd4Au5
1.0
2.958 0.000 0.000
0.000 2.958 0.000
0.000 0.000 24.639
Pu Cd Au
1 4 5
Direct
0.000 0.000 0.000 Pu
0.000 0.000 0.128 Cd
0.000 0.000 0.305 Cd
0.000 0.000 0.695 Cd
0.000 0.000 0.872 Cd
0.500 0.500 0.218 Au
0.500 0.500 0.389 Au
0.500 0.500 0.500 Au
0.500 0.500 0.611 Au
0.500 0.500 0.782 Au
```

---

[3]
A relaxed PuCdAu2 crystal. Source: the Alexandria database, functional GGA-PBE.

Computed properties:
DFT total energy = -5.82 eV/atom
M_tot = 5.718 μB/f.u.
ΔH_f (0 K) = -0.365 eV per atom

The structure in POSCAR format:
```
PuCdAu2
1.0
0.000 3.551 3.551
3.551 0.000 3.551
3.551 3.551 0.000
Pu Cd Au
1 1 2
Direct
0.000 0.000 0.000 Pu
0.500 0.500 0.500 Cd
0.250 0.250 0.250 Au
0.750 0.750 0.750 Au
```

---

[4]
A relaxed PuCdAu3 crystal. Source: the Alexandria database, functional GGA-PBE.

Computed properties:
DFT total energy = -5.23 eV/atom
M_tot = 5.685 μB/f.u.
ΔH_f (0 K) = -0.213 eV per atom

The structure in POSCAR format:
```
PuCdAu3
1.0
6.886 0.000 0.000
-3.443 5.964 0.000
0.000 0.000 5.697
Pu Cd Au
2 2 6
Direct
0.333 0.667 0.250 Pu
0.667 0.333 0.750 Pu
0.000 0.000 0.000 Cd
0.000 0.000 0.500 Cd
0.200 0.400 0.750 Au
0.200 0.800 0.750 Au
0.400 0.200 0.250 Au
0.600 0.800 0.750 Au
0.800 0.200 0.250 Au
0.800 0.600 0.250 Au
```

---

[5]
A relaxed PuCdAu crystal. Source: the Alexandria database, functional GGA-PBE.

Computed properties:
DFT total energy = -6.42 eV/atom
M_tot = 5.968 μB/f.u.
ΔH_f (0 K) = -0.241 eV per atom

The structure in POSCAR format:
```
PuCdAu
1.0
-1.576 1.939 5.697
1.576 -1.939 5.697
1.576 1.939 -5.697
Pu Cd Au
1 1 1
Direct
0.000 0.000 0.000 Pu
0.694 0.694 0.000 Cd
0.334 0.334 0.000 Au
```

---

[6]
A relaxed PuCd3Au2 crystal. Source: the Alexandria database, functional GGA-PBE.

Computed properties:
DFT total energy = -4.15 eV/atom
M_tot = 1.909 μB/f.u.
ΔH_f (0 K) = -0.210 eV per atom

The structure in POSCAR format:
```
PuCd3Au2
1.0
9.843 -1.675 0.000
9.843 1.675 0.000
-2.773 0.000 12.351
Pu Cd Au
3 9 6
Direct
0.000 0.000 0.000 Pu
0.140 0.140 0.714 Pu
0.860 0.860 0.286 Pu
0.057 0.057 0.343 Cd
0.219 0.219 0.374 Cd
0.341 0.341 0.031 Cd
0.379 0.379 0.815 Cd
0.500 0.500 0.500 Cd
0.621 0.621 0.185 Cd
0.659 0.659 0.969 Cd
0.781 0.781 0.626 Cd
0.943 0.943 0.657 Cd
0.237 0.237 0.152 Au
0.355 0.355 0.492 Au
0.469 0.469 0.191 Au
0.531 0.531 0.809 Au
0.645 0.645 0.508 Au
0.763 0.763 0.848 Au
```

---

The lowest DFT total energy belongs to which entry?
PuCdAu

---

What did the fourth record say?
A relaxed PuCdAu3 crystal. Source: the Alexandria database, functional GGA-PBE.

Computed properties:
DFT total energy = -5.23 eV/atom
M_tot = 5.685 μB/f.u.
ΔH_f (0 K) = -0.213 eV per atom

The structure in POSCAR format:
```
PuCdAu3
1.0
6.886 0.000 0.000
-3.443 5.964 0.000
0.000 0.000 5.697
Pu Cd Au
2 2 6
Direct
0.333 0.667 0.250 Pu
0.667 0.333 0.750 Pu
0.000 0.000 0.000 Cd
0.000 0.000 0.500 Cd
0.200 0.400 0.750 Au
0.200 0.800 0.750 Au
0.400 0.200 0.250 Au
0.600 0.800 0.750 Au
0.800 0.200 0.250 Au
0.800 0.600 0.250 Au
```

---

Look up the M_tot of the sixth one.
1.909 μB/f.u.